Record 1
Density functional theory data (PBE) for an optimized crystal structure of Ca8IrN2.

abc: 6.6185 7.8026 7.8026
angles: 64.19 93.72 93.72
With the nearest neighbours (Å) after each atom.
Sites, in units of the cell vectors:
Ca1 0.2457 0.6904 0.0918  1 N 2.27
Ca2 0.2863 0.1695 0.1695  1 N 2.23
Ca3 0.2457 0.0918 0.6904  1 N 2.27
Ca4 0.7543 0.3096 0.9082  1 N 2.27
Ca5 0.2457 0.6442 0.6442  1 N 2.17
Ca6 0.7137 0.8305 0.8305  1 N 2.23
Ca7 0.7543 0.9082 0.3096  1 N 2.27
Ca8 0.7543 0.3558 0.3558  1 N 2.17
Ir1 0.0000 0.0000 0.0000  6 Ca 2.80-2.82
N1 0.6229 0.1999 0.1999  4 Ca 2.17-2.27
N2 0.3771 0.8001 0.8001  4 Ca 2.17-2.27

Results
Crystal system ... monoclinic
M_tot ... 0.00 μB per cell
SG ... No. 12
Uncorrected formation energy ... -0.34 eV/atom

Record 2
Density functional theory data (PBE) for an optimized crystal structure of Ca4IrN.

abc: 6.2865 6.8033 8.1191
angles: 110.64 108.37 99.90
With the nearest neighbours (Å) after each atom.
Sites, in units of the cell vectors:
N1 0.8266 0.0766 0.1532  6 Ca 2.40-2.67
N2 0.1734 0.9234 0.8468  6 Ca 2.40-2.67
Ca1 0.9939 0.2091 0.9320  2 N 2.41-2.67
Ca2 0.1973 0.3419 0.4000  1 N 2.40
Ca3 0.8027 0.6581 0.6000  1 N 2.40
Ca4 0.2973 0.9418 0.6000  1 N 2.40
Ca5 0.0061 0.7909 0.0680  2 N 2.41-2.67
Ca6 0.7027 0.0582 0.4000  1 N 2.40
Ca7 0.5619 0.2771 0.0680  2 N 2.41-2.67
Ca8 0.4381 0.7229 0.9320  2 N 2.41-2.67
Ir1 0.6176 0.3676 0.7352  8 Ca 2.83-3.08
Ir2 0.3824 0.6324 0.2648  8 Ca 2.83-3.08

Results
Crystal system ... monoclinic
M_tot ... 0.00 μB per cell
SG ... No. 15
Uncorrected formation energy ... -0.45 eV/atom

Record 3
Density functional theory data (PBE) for an optimized crystal structure of CaIr3N.

abc: 4.1961 4.1961 4.1961
angles: 90.00 90.00 90.00
With the nearest neighbours (Å) after each atom.
Sites, in units of the cell vectors:
Ir1 0.0000 0.0000 0.5000  2 N 2.10
Ir2 0.0000 0.5000 0.0000  2 N 2.10
Ir3 0.5000 0.0000 0.0000  2 N 2.10
Ca1 0.5000 0.5000 0.5000  12 Ir 2.97
N1 0.0000 0.0000 0.0000  6 Ir 2.10

Results
Crystal system ... cubic
M_tot ... 0.00 μB per cell
SG ... No. 221
Energy relative to the lowest polymorph listed for this composition ... 0.0 kJ per mole of atoms
Uncorrected formation energy ... 0.25 eV/atom